{
  "formula": "Ac3I3N2",
  "functional": "PBE-GGA",
  "state": "relaxed",
  "lattice_angstrom": [[4.310, 0.000, 0.000], [-2.155, 8.576, 0.000], [0.000, 0.000, 14.710]],
  "species": ["I", "Ac", "I", "N", "Ac", "Ac", "Ac", "Ac", "I", "I", "Ac", "N", "N", "I", "N", "I"],
  "fractional_positions": [[0.619, 0.239, 0.250], [0.334, 0.667, 0.530], [0.922, 0.844, 0.377], [0.767, 0.535, 0.914], [0.274, 0.549, 0.250], [0.334, 0.667, 0.970], [0.666, 0.333, 0.030], [0.726, 0.451, 0.750], [0.922, 0.844, 0.123], [0.078, 0.156, 0.623], [0.666, 0.333, 0.470], [0.233, 0.465, 0.414], [0.767, 0.535, 0.586], [0.381, 0.761, 0.750], [0.233, 0.465, 0.086], [0.078, 0.156, 0.877]],
  "magnetic_moment_mub_per_cell": 0.000,
  "formation_energy_uncorrected_ev_per_atom": -1.409,
  "energy_ry_per_atom": -0.4125
}